No. 1
This record from Alexandria describes a geometry-optimized Rb2Tl3InAu4 structure. The functional is PBE.

Cell and atoms, written as extended XYZ:
```
10
Lattice="-1.856 -4.080 2.605 1.796 -3.172 -3.687 9.746 -0.904 5.527" Properties=species:S:1:pos:R:3 pbc="T T T"
Rb 1.388 -2.255 2.616
Rb 8.328 -2.275 2.370
Tl 4.873 -0.452 2.763
Tl 7.611 -2.832 6.145
Tl 2.105 -1.698 -1.159
In 4.843 -4.078 2.223
Au -0.030 -3.626 -0.541
Au 0.000 0.000 0.000
Au 5.078 -2.597 4.708
Au 4.638 -1.933 0.278
```

Calculated values
DFT total energy, eV per atom: -2.680
Crystal system: tetragonal
Total magnetic moment, μB per atom: 0.000



No. 2
This record from Alexandria describes a geometry-optimized CdIn2Hg6Pb structure. The functional is PBE.

Cell and atoms, written as extended XYZ:
```
20
Lattice="-5.459 0.267 -6.522 1.156 -8.056 2.485 -3.493 5.522 7.668" Properties=species:S:1:pos:R:3 pbc="T T T"
Cd -3.432 -2.002 -0.656
Cd -4.365 -0.265 4.287
In -4.388 2.860 4.910
In -5.741 -1.629 1.756
In -3.408 -5.127 -1.279
In -2.055 -0.639 1.874
Hg -5.329 -1.717 -3.052
Hg -4.022 0.842 -1.646
Hg -2.467 -0.550 6.683
Hg -3.774 -3.110 5.277
Hg -1.033 -0.045 -1.184
Hg -6.184 -3.516 -0.608
Hg -6.764 -2.223 4.815
Hg -1.613 1.248 4.238
Hg -3.180 -3.544 2.239
Hg -0.919 -3.939 0.214
Hg -4.617 1.276 1.391
Hg -6.877 1.671 3.417
Pb -0.667 -5.481 3.109
Pb -7.129 3.213 0.522
```

Calculated values
DFT total energy, eV per atom: -1.151
Crystal system: monoclinic
Total magnetic moment, μB per atom: 0.000



No. 3
This record from Alexandria describes a geometry-optimized InPtS structure. The functional is PBE.

Cell and atoms, written as extended XYZ:
```
6
Lattice="4.949 0.010 -0.322 0.171 4.135 0.478 -0.885 0.167 6.074" Properties=species:S:1:pos:R:3 pbc="T T T"
In 1.886 2.748 0.605
In 1.584 0.430 3.176
Pt 3.271 4.095 5.836
Pt 0.126 2.676 2.636
S 4.156 2.282 4.503
S 3.610 0.803 1.364
```

Calculated values
DFT total energy, eV per atom: -4.632
Energy relative to the elements, uncorrected, eV/atom: -0.33
Crystal system: triclinic
Total magnetic moment, μB per atom: 0.000